# BaFePb | OQMD | GGA-PBE | relaxed
data_BaFePb
_cell_length_a 6.7545
_cell_length_b 6.7545
_cell_length_c 6.7545
_cell_angle_alpha 90.00
_cell_angle_beta 90.00
_cell_angle_gamma 90.00
_space_group_name_H-M_alt 'F -4 3 m'
_space_group_IT_number 216
_space_group_name_Hall 'F -4 2 3'
loop_
_atom_site_label
_atom_site_type_symbol
_atom_site_fract_x
_atom_site_fract_y
_atom_site_fract_z
Ba1 Ba 0.0000 0.0000 0.0000
Fe1 Fe 0.2500 0.2500 0.7500
Pb1 Pb 0.2500 0.2500 0.2500
# Uncorrected energy (Ry/atom): -0.22522
# Theoretical density (g/cm³): 8.63

# BaFePd | OQMD | GGA-PBE | relaxed
data_BaFePd
_cell_length_a 6.7996
_cell_length_b 6.7996
_cell_length_c 6.7996
_cell_angle_alpha 90.00
_cell_angle_beta 90.00
_cell_angle_gamma 90.00
_space_group_name_H-M_alt 'F -4 3 m'
_space_group_IT_number 216
_space_group_name_Hall 'F -4 2 3'
loop_
_atom_site_label
_atom_site_type_symbol
_atom_site_fract_x
_atom_site_fract_y
_atom_site_fract_z
Ba1 Ba 0.0000 0.0000 0.0000
Fe1 Fe 0.2500 0.2500 0.2500
Pd1 Pd 0.0000 0.0000 0.5000
# Uncorrected energy (Ry/atom): -0.33912
# Theoretical density (g/cm³): 6.33

# BaFePd2 | OQMD | GGA-PBE | relaxed
data_BaFePd2
_cell_length_a 6.9222
_cell_length_b 6.9222
_cell_length_c 6.9222
_cell_angle_alpha 90.00
_cell_angle_beta 90.00
_cell_angle_gamma 90.00
_space_group_name_H-M_alt 'F -4 3 m'
_space_group_IT_number 216
_space_group_name_Hall 'F -4 2 3'
loop_
_atom_site_label
_atom_site_type_symbol
_atom_site_fract_x
_atom_site_fract_y
_atom_site_fract_z
Ba1 Ba 0.0000 0.0000 0.0000
Fe1 Fe 0.2500 0.2500 0.7500
Pd1 Pd 0.0000 0.0000 0.5000
Pd2 Pd 0.2500 0.2500 0.2500
# Uncorrected energy (Ry/atom): -0.35332
# Theoretical density (g/cm³): 8.13

# Ba3Fe2Pd2 | OQMD | GGA-PBE | relaxed
data_Ba3Fe2Pd2
_cell_length_a 5.4288
_cell_length_b 5.4288
_cell_length_c 26.6573
_cell_angle_alpha 90.00
_cell_angle_beta 90.00
_cell_angle_gamma 120.00
_space_group_name_H-M_alt 'R 3 m'
_space_group_IT_number 160
_space_group_name_Hall 'R 3 -2"'
loop_
_atom_site_label
_atom_site_type_symbol
_atom_site_fract_x
_atom_site_fract_y
_atom_site_fract_z
Ba1 Ba 0.0000 0.0000 0.0000
Ba2 Ba 0.0000 0.0000 0.2357
Ba3 Ba 0.0000 0.0000 0.4737
Fe1 Fe 0.0000 0.0000 0.1187
Fe2 Fe 0.0000 0.0000 0.6283
Pd1 Pd 0.0000 0.0000 0.3500
Pd2 Pd 0.0000 0.0000 0.8631
# Uncorrected energy (Ry/atom): -0.30305
# Theoretical density (g/cm³): 5.39

# Ba3Fe2Pt2 | OQMD | GGA-PBE | relaxed
data_Ba3Fe2Pt2
_cell_length_a 4.5156
_cell_length_b 4.5156
_cell_length_c 33.0723
_cell_angle_alpha 90.00
_cell_angle_beta 90.00
_cell_angle_gamma 120.00
_space_group_name_H-M_alt 'R 3 m'
_space_group_IT_number 160
_space_group_name_Hall 'R 3 -2"'
loop_
_atom_site_label
_atom_site_type_symbol
_atom_site_fract_x
_atom_site_fract_y
_atom_site_fract_z
Ba1 Ba 0.0000 0.0000 0.0000
Ba2 Ba 0.0000 0.0000 0.2354
Ba3 Ba 0.0000 0.0000 0.7483
Fe1 Fe 0.0000 0.0000 0.4850
Fe2 Fe 0.0000 0.0000 0.8330
Pt1 Pt 0.0000 0.0000 0.1431
Pt2 Pt 0.0000 0.0000 0.6226
# Uncorrected energy (Ry/atom): -0.37067
# Theoretical density (g/cm³): 7.80

# Ba2Fe3Re2 | OQMD | GGA-PBE | relaxed
data_Ba2Fe3Re2
_cell_length_a 4.1729
_cell_length_b 4.1729
_cell_length_c 31.6754
_cell_angle_alpha 90.00
_cell_angle_beta 90.00
_cell_angle_gamma 120.00
_space_group_name_H-M_alt 'R 3 m'
_space_group_IT_number 160
_space_group_name_Hall 'R 3 -2"'
loop_
_atom_site_label
_atom_site_type_symbol
_atom_site_fract_x
_atom_site_fract_y
_atom_site_fract_z
Ba1 Ba 0.0000 0.0000 0.0000
Ba2 Ba 0.0000 0.0000 0.4325
Fe1 Fe 0.0000 0.0000 0.2647
Fe2 Fe 0.0000 0.0000 0.5171
Fe3 Fe 0.0000 0.0000 0.8867
Re1 Re 0.0000 0.0000 0.1913
Re2 Re 0.0000 0.0000 0.5883
# Uncorrected energy (Ry/atom): -0.52852
# Theoretical density (g/cm³): 8.50

# Ba2FeReS6 | OQMD | GGA-PBE | relaxed
data_Ba2FeReS6
_cell_length_a 9.4427
_cell_length_b 9.4427
_cell_length_c 9.4427
_cell_angle_alpha 90.00
_cell_angle_beta 90.00
_cell_angle_gamma 90.00
_space_group_name_H-M_alt 'F m -3 m'
_space_group_IT_number 225
_space_group_name_Hall '-F 4 2 3'
loop_
_atom_site_label
_atom_site_type_symbol
_atom_site_fract_x
_atom_site_fract_y
_atom_site_fract_z
Ba1 Ba 0.2500 0.2500 0.2500
Fe1 Fe 0.0000 0.0000 0.0000
Re1 Re 0.0000 0.0000 0.5000
S1 S 0.0000 0.0000 0.2475
# Uncorrected energy (Ry/atom): -0.42455
# Theoretical density (g/cm³): 5.59

# Ba6Fe8S15 | OQMD | GGA-PBE | relaxed
data_Ba6Fe8S15
_cell_length_a 11.3993
_cell_length_b 11.3993
_cell_length_c 10.0660
_cell_angle_alpha 90.00
_cell_angle_beta 90.00
_cell_angle_gamma 90.00
_space_group_name_H-M_alt 'I 4/m'
_space_group_IT_number 87
_space_group_name_Hall '-I 4'
loop_
_atom_site_label
_atom_site_type_symbol
_atom_site_fract_x
_atom_site_fract_y
_atom_site_fract_z
Ba1 Ba 0.0000 0.0000 0.1975
Ba2 Ba 0.1330 0.2512 0.5000
Fe1 Fe 0.0580 0.3543 0.1339
S1 S 0.0000 0.0000 0.5000
S2 S 0.0000 0.5000 0.0000
S3 S 0.0792 0.7240 0.2697
S4 S 0.0963 0.2063 0.0000
# Uncorrected energy (Ry/atom): -0.43225
# Theoretical density (g/cm³): 4.45